1.
## CuAg3 (PBE-GGA)

Data for an optimized crystal structure of CuAg3.

The structure belongs to space group C2/m (No. 12); the cell edges are 12.3868, 2.8600 and 9.5040 Å and the angles 90.00°, 128.11° and 90.00°. The inequivalent atoms are Cu at (0.1324, 0.0000, 0.3852), Ag at (0.0000, 0.0000, 0.0000), Ag at (0.0000, 0.5000, 0.5000), Ag at (0.1198, 0.5000, 0.8667) and Ag at (0.2463, 0.5000, 0.2597).

For the mass density, the calculation gives 9.71 g/cm³. As for the calculated formation energy: 0.07 eV/atom.


2.
## Co2SeS3 (PBE-GGA)

Data for an optimized crystal structure of Co2SeS3.

The structure belongs to space group Pm (No. 6); the cell edges are 5.4946, 3.2677 and 9.8238 Å and the angles 90.00°, 105.71° and 90.00°. The inequivalent atoms are Co at (0.0000, 0.0000, 0.0000), Co at (0.4237, 0.5000, 0.0001), Se at (0.7173, 0.0000, 0.1464), S at (0.0441, 0.5000, 0.8552), S at (0.1816, 0.5000, 0.1516) and S at (0.5799, 0.0000, 0.8943).

The energy is -30.93 eV/cell. For the mass density, the calculation gives 2.87 g/cm³. The calculation puts the total magnetization at 0.053 μB/f.u.


3.
## PmAuSeO (PBE-GGA)

Data for an optimized crystal structure of PmAuSeO.

The structure belongs to space group P4/nmm (No. 129, origin choice 2); the cell edges are 4.0311, 4.0311 and 9.4618 Å and the angles 90.00°, 90.00° and 90.00°. The inequivalent atoms are Pm at (0.2500, 0.2500, 0.1243), Au at (0.2500, 0.7500, 0.5000), Se at (0.2500, 0.2500, 0.7112) and O at (0.2500, 0.7500, 0.0000).

For the mass density, the calculation gives 9.44 g/cm³. The energy above the most stable polymorph in this dataset comes out at 87 meV/atom. The calculation puts the total magnetization at 0.001 μB/f.u.


Which value of mass density does entry 2 give? 2.87 g/cm³